Entry 1:
The following is a DFT calculation (GGA-PBE) of a relaxed structure of Ba2NaMnP.

Geometry as POSCAR:
```
Ba2NaMnP
1.0
-4.271 -3.112 2.949
-1.959 -0.920 -3.807
3.325 -5.032 -0.494
P Mn Ba Na
1 1 2 1
Direct
0.000 0.500 0.000
0.000 0.000 0.000
0.000 0.000 0.500
0.500 0.000 0.000
0.500 0.500 0.500
```

Values from the calculation:
E_form: 0.044 eV per atom
Space-group type: P4/mmm, No. 123
VASP energy: -3.90 eV/atom

Entry 2:
The following is a DFT calculation (GGA-PBE) of a relaxed structure of Ba2NaMnPd.

Geometry as POSCAR:
```
Ba2NaMnPd
1.0
-2.624 2.325 5.252
0.403 -4.453 2.173
5.721 1.573 2.162
Na Mn Ba Pd
1 1 2 1
Direct
0.000 0.000 0.000
0.000 0.500 0.000
0.000 0.000 0.500
0.500 0.000 0.000
0.500 0.500 0.500
```

Values from the calculation:
E_form: 0.820 eV per atom
Space-group type: P4/mmm, No. 123
VASP energy: -3.09 eV/atom

Entry 3:
The following is a DFT calculation (GGA-PBE) of a relaxed structure of BaNa2MnPt.

Geometry as POSCAR:
```
BaNa2MnPt
1.0
5.432 0.000 0.000
0.000 4.992 0.000
0.000 0.000 5.432
Na Mn Ba Pt
2 1 1 1
Direct
0.000 0.000 0.500
0.500 0.000 0.000
0.000 0.000 0.000
0.500 0.500 0.500
0.000 0.500 0.000
```

Values from the calculation:
E_form: 0.240 eV per atom
Space-group type: P4/mmm, No. 123
VASP energy: -3.71 eV/atom

Entry 4:
The following is a DFT calculation (GGA-PBE) of a relaxed structure of Ba3NaMn2S6.

Geometry as POSCAR:
```
Ba3NaMn2S6
1.0
-7.209 0.064 -1.113
2.641 -0.759 6.757
-0.072 7.964 0.923
Ba Na Mn S
3 1 2 6
Direct
0.333 0.667 0.619
0.667 0.333 0.381
0.000 0.000 0.000
0.000 0.000 0.500
0.667 0.333 0.809
0.333 0.667 0.191
0.662 0.831 0.287
0.169 0.338 0.287
0.169 0.831 0.287
0.831 0.662 0.713
0.338 0.169 0.713
0.831 0.169 0.713
```

Values from the calculation:
Space-group type: P-3m1, No. 164
Raw formation energy: -13.9 eV per formula unit
VASP energy: -5.34 eV/atom

Entry 5:
The following is a DFT calculation (GGA-PBE) of a relaxed structure of BaNa2MnSi.

Geometry as POSCAR:
```
BaNa2MnSi
1.0
-2.270 5.013 -1.277
-3.443 -2.202 -2.524
-3.220 -0.278 4.634
Na Si Mn Ba
2 1 1 1
Direct
0.000 0.000 0.500
0.500 0.000 0.000
0.000 0.000 0.000
0.000 0.500 0.000
0.500 0.500 0.500
```

Values from the calculation:
Space-group type: P4/mmm, No. 123
Raw formation energy: 1.3 eV per formula unit
VASP energy: -3.57 eV/atom

Entry 6:
The following is a DFT calculation (GGA-PBE) of a relaxed structure of BaNa2SrMn.

Geometry as POSCAR:
```
BaNa2SrMn
1.0
-1.173 -5.998 1.591
6.363 -0.333 3.434
-2.772 1.955 5.326
Sr Mn Ba Na
1 1 1 2
Direct
0.000 0.000 0.000
0.500 0.500 0.500
0.000 0.500 0.000
0.000 0.000 0.500
0.500 0.000 0.000
```

Values from the calculation:
E_form: 1.125 eV per atom
Space-group type: P4/mmm, No. 123
VASP energy: -1.96 eV/atom

Entry 7:
The following is a DFT calculation (GGA-PBE) of a relaxed structure of BaNaMn2V.

Geometry as POSCAR:
```
BaNaMn2V
1.0
-3.140 2.566 2.709
-1.554 -4.972 2.909
3.509 0.825 3.285
Na Mn Ba V
1 2 1 1
Direct
0.500 0.500 0.500
0.000 0.000 0.500
0.500 0.000 0.000
0.000 0.500 0.000
0.000 0.000 0.000
```

Values from the calculation:
E_form: 0.905 eV per atom
Space-group type: P4/mmm, No. 123
VASP energy: -5.24 eV/atom

Entry 8:
The following is a DFT calculation (GGA-PBE) of a relaxed structure of Ba2NaZrMn.

Geometry as POSCAR:
```
Ba2NaZrMn
1.0
-4.151 -0.432 4.520
3.655 -0.212 3.337
-0.098 6.131 0.497
Na Mn Ba Zr
1 1 2 1
Direct
0.000 0.000 0.000
0.000 0.500 0.000
0.000 0.000 0.500
0.500 0.000 0.000
0.500 0.500 0.500
```

Values from the calculation:
E_form: 1.626 eV per atom
Space-group type: P4/mmm, No. 123
VASP energy: -2.95 eV/atom

Entry 9:
The following is a DFT calculation (GGA-PBE) of a relaxed structure of Ba3MnNb.

Geometry as POSCAR:
```
Ba3MnNb
1.0
6.085 0.000 0.000
0.000 6.085 0.000
0.000 0.000 6.085
Nb Mn Ba
1 1 3
Direct
0.000 0.000 0.000
0.500 0.500 0.500
0.000 0.500 0.000
0.000 0.000 0.500
0.500 0.000 0.000
```

Values from the calculation:
E_form: 1.107 eV per atom
Space-group type: Pm-3m, No. 221
Relative energy among the computed polymorphs: 0 meV per atom
VASP energy: -3.89 eV/atom

Entry 10:
The following is a DFT calculation (GGA-PBE) of a relaxed structure of BaMnNb3.

Geometry as POSCAR:
```
BaMnNb3
1.0
4.843 0.000 0.000
0.000 4.843 0.000
0.000 0.000 4.843
Nb Mn Ba
3 1 1
Direct
0.000 0.500 0.000
0.000 0.000 0.500
0.500 0.000 0.000
0.000 0.000 0.000
0.500 0.500 0.500
```

Values from the calculation:
E_form: 0.872 eV per atom
Space-group type: Pm-3m, No. 221
Relative energy among the computed polymorphs: 0 meV per atom
VASP energy: -7.39 eV/atom

Entry 11:
The following is a DFT calculation (GGA-PBE) of a relaxed structure of BaMnNb3.

Geometry as POSCAR:
```
BaMnNb3
1.0
-1.180 4.256 2.458
-4.702 -1.713 0.709
1.430 -2.122 4.359
Nb Mn Ba
3 1 1
Direct
0.000 0.500 0.000
0.000 0.000 0.500
0.500 0.000 0.000
0.500 0.500 0.500
0.000 0.000 0.000
```

Values from the calculation:
E_form: 2.597 eV per atom
Space-group type: Pm-3m, No. 221
Relative energy among the computed polymorphs: 1725 meV per atom
VASP energy: -5.66 eV/atom

Entry 12:
The following is a DFT calculation (GGA-PBE) of a relaxed structure of BaMnNb2.

Geometry as POSCAR:
```
BaMnNb2
1.0
-4.678 -1.469 -2.161
-0.509 -3.834 3.709
-6.405 2.471 5.545
Nb Mn Ba
4 2 2
Direct
0.375 0.125 0.250
0.375 0.625 0.250
0.375 0.625 0.750
0.875 0.625 0.750
0.500 0.500 0.000
0.250 0.750 0.500
0.000 0.000 0.000
0.750 0.250 0.500
```

Values from the calculation:
E_form: 1.245 eV per atom
Space-group type: I4_1/amd, No. 141
Relative energy among the computed polymorphs: 63 meV per atom
VASP energy: -6.56 eV/atom